Computed, not measured: MnAgTe after structural relaxation at the PBE level of DFT.

Computed properties:
VASP energy   -4.9650 eV per atom
Energy above the lowest structure with this stoichiometry   0 meV/atom

abc: 6.4723 6.4723 6.4723
angles: 90.00 90.00 90.00
Closest atoms and distances in Å follow each position.
Space group F-43m (No. 216)
Asymmetric unit:
Mn  0.0000  0.0000  0.0000  4 Te 2.80, 4 Ag 2.80
Ag  0.2500  0.2500  0.7500  4 Mn 2.80
Te  0.2500  0.2500  0.2500  4 Mn 2.80